Na4ZnP2O8: optimized geometry, PBE.

Computed properties:
uncorrected energy = -5.9369 eV/atom

Geometry as POSCAR:
```
Na4ZnP2O8
1.0
8.8057 0.0000 0.0000
0.0000 10.6956 0.0000
-2.7997 0.0000 8.4129
Na Zn P O
16 4 8 32
direct
0.0083 0.0987 0.2528
0.0083 0.4013 0.7528
0.1260 0.6656 0.6019
0.1260 0.8344 0.1019
0.1812 0.1265 0.6809
0.1812 0.3735 0.1809
0.3810 0.6374 0.3749
0.3810 0.8626 0.8749
0.6190 0.1374 0.1251
0.6190 0.3626 0.6251
0.8188 0.6265 0.8191
0.8188 0.8735 0.3191
0.8740 0.1656 0.8981
0.8740 0.3344 0.3981
0.9917 0.5987 0.2472
0.9917 0.9013 0.7472
0.4082 0.1475 0.4082
0.4082 0.3525 0.9082
0.5918 0.6475 0.0918
0.5918 0.8525 0.5918
0.2209 0.5902 0.9708
0.2209 0.9098 0.4708
0.2669 0.1045 0.0423
0.2669 0.3955 0.5423
0.7331 0.6045 0.4577
0.7331 0.8955 0.9577
0.7791 0.0902 0.5292
0.7791 0.4098 0.0292
0.0763 0.6214 0.8249
0.0763 0.8786 0.3249
0.1295 0.1767 0.0745
0.1295 0.3233 0.5745
0.1904 0.6258 0.1274
0.1904 0.8742 0.6274
0.2094 0.5221 0.4609
0.2094 0.9779 0.9609
0.2487 0.0549 0.4736
0.2487 0.4451 0.9736
0.3425 0.1772 0.9288
0.3425 0.3228 0.4288
0.3699 0.6599 0.9526
0.3699 0.8401 0.4526
0.4063 0.0843 0.2019
0.4063 0.4157 0.7019
0.5937 0.5843 0.2981
0.5937 0.9157 0.7981
0.6301 0.1599 0.5474
0.6301 0.3401 0.0474
0.6575 0.6772 0.5712
0.6575 0.8228 0.0712
0.7513 0.5549 0.0264
0.7513 0.9451 0.5264
0.7906 0.0221 0.0391
0.7906 0.4779 0.5391
0.8096 0.1258 0.3726
0.8096 0.3742 0.8726
0.8705 0.6767 0.4255
0.8705 0.8233 0.9255
0.9237 0.1214 0.6751
0.9237 0.3786 0.1751
```



NaZnPO: optimized geometry, PBE.

Computed properties:
uncorrected energy = -3.2887 eV/atom

Geometry as POSCAR:
```
NaZnPO
1.0
3.8535 0.0000 0.0000
0.0000 3.8535 0.0000
0.0000 0.0000 8.7944
Na Zn P O
2 2 2 2
direct
0.2500 0.2500 0.1337
0.7500 0.7500 0.8663
0.2500 0.7500 0.5000
0.7500 0.2500 0.5000
0.2500 0.2500 0.6695
0.7500 0.7500 0.3305
0.2500 0.7500 0.0000
0.7500 0.2500 0.0000
```



Na4ZnP2O8: optimized geometry, PBE.

Computed properties:
uncorrected energy = -5.9369 eV/atom

Geometry as POSCAR:
```
Na4ZnP2O8
1.0
8.7958 0.0000 0.0000
0.0000 10.7133 0.0000
-2.7734 0.0000 8.4174
Na Zn P O
16 4 8 32
direct
0.0061 0.0955 0.2513
0.0061 0.4045 0.7513
0.1250 0.6665 0.6011
0.1250 0.8335 0.1011
0.1817 0.1292 0.6812
0.1817 0.3708 0.1812
0.3807 0.6398 0.3743
0.3807 0.8602 0.8743
0.6193 0.1398 0.1257
0.6193 0.3602 0.6257
0.8183 0.6292 0.8188
0.8183 0.8708 0.3188
0.8750 0.1665 0.8989
0.8750 0.3335 0.3989
0.9939 0.5955 0.2487
0.9939 0.9045 0.7487
0.4072 0.1469 0.4094
0.4072 0.3531 0.9094
0.5928 0.6469 0.0906
0.5928 0.8531 0.5906
0.2208 0.5898 0.9705
0.2208 0.9102 0.4705
0.2681 0.1041 0.0435
0.2681 0.3959 0.5435
0.7319 0.6041 0.4565
0.7319 0.8959 0.9565
0.7792 0.0898 0.5295
0.7792 0.4102 0.0295
0.0764 0.6227 0.8255
0.0764 0.8773 0.3255
0.1290 0.1747 0.0752
0.1290 0.3253 0.5752
0.1913 0.6262 0.1275
0.1913 0.8738 0.6275
0.2127 0.5230 0.4632
0.2127 0.9770 0.9632
0.2452 0.0555 0.4719
0.2452 0.4445 0.9719
0.3429 0.1776 0.9296
0.3429 0.3224 0.4296
0.3713 0.6567 0.9513
0.3713 0.8432 0.4513
0.4075 0.0855 0.2029
0.4075 0.4145 0.7029
0.5925 0.5855 0.2971
0.5925 0.9145 0.7971
0.6287 0.1568 0.5487
0.6287 0.3432 0.0487
0.6571 0.6776 0.5704
0.6571 0.8224 0.0704
0.7548 0.5555 0.0281
0.7548 0.9445 0.5281
0.7873 0.0230 0.0368
0.7873 0.4770 0.5368
0.8087 0.1262 0.3725
0.8087 0.3738 0.8725
0.8710 0.6747 0.4248
0.8710 0.8253 0.9248
0.9236 0.1227 0.6745
0.9236 0.3773 0.1745
```



NaZr2P3O12: optimized geometry, PBE.

Computed properties:
uncorrected energy = -7.9236 eV/atom
spin magnetization = 0.00 μB/atom

Geometry as POSCAR:
```
NaZr2P3O12
1.0
4.4383 2.5625 7.4351
-4.4383 2.5625 7.4351
0.0000 -5.1250 7.4351
Na Zr P O
2 4 6 24
direct
0.0000 0.0000 0.0000
0.5000 0.5000 0.5000
0.1433 0.1433 0.1433
0.3567 0.3567 0.3567
0.6433 0.6433 0.6433
0.8567 0.8567 0.8567
0.0429 0.7500 0.4571
0.2500 0.5429 0.9571
0.4571 0.0429 0.7500
0.5429 0.9571 0.2500
0.7500 0.4571 0.0429
0.9571 0.2500 0.5429
0.0025 0.8033 0.6140
0.0602 0.9122 0.2739
0.0878 0.7261 0.9398
0.1140 0.3033 0.5025
0.1967 0.3860 0.9975
0.2261 0.5878 0.4398
0.2739 0.0602 0.9122
0.3033 0.5025 0.1140
0.3860 0.9975 0.1967
0.4122 0.5602 0.7739
0.4398 0.2261 0.5878
0.4975 0.8860 0.6967
0.5025 0.1140 0.3033
0.5602 0.7739 0.4122
0.5878 0.4398 0.2261
0.6140 0.0025 0.8033
0.6967 0.4975 0.8860
0.7261 0.9398 0.0878
0.7739 0.4122 0.5602
0.8033 0.6140 0.0025
0.8860 0.6967 0.4975
0.9122 0.2739 0.0602
0.9398 0.0878 0.7261
0.9975 0.1967 0.3860
```



Na2ZrP2O8: optimized geometry, PBE.

Computed properties:
uncorrected energy = -7.2652 eV/atom
spin magnetization = 0.00 μB/atom

Geometry as POSCAR:
```
Na2ZrP2O8
1.0
4.9517 0.0000 0.0000
-2.4758 4.2883 0.0000
0.0000 0.0000 8.3839
Na Zr P O
2 1 2 8
direct
0.3333 0.6667 0.1532
0.6667 0.3333 0.8468
0.0000 0.0000 0.5000
0.3333 0.6667 0.7155
0.6667 0.3333 0.2845
0.0495 0.6872 0.6500
0.3128 0.3623 0.6500
0.3333 0.6667 0.8949
0.3623 0.0495 0.3500
0.6377 0.9505 0.6500
0.6667 0.3333 0.1051
0.6872 0.6377 0.3500
0.9505 0.3128 0.3500
```



NaZr2P3O12: optimized geometry, PBE.

Computed properties:
uncorrected energy = -7.9014 eV/atom
spin magnetization = 0.00 μB/atom

Geometry as POSCAR:
```
NaZr2P3O12
1.0
8.7902 0.0000 0.0000
0.0000 9.1258 0.0000
-8.3781 0.0000 12.3045
Na Zr P O
4 8 12 48
direct
0.0414 0.1838 0.3736
0.0414 0.3162 0.8736
0.9586 0.6838 0.1264
0.9586 0.8162 0.6264
0.1442 0.5380 0.3859
0.1442 0.9620 0.8859
0.3705 0.5343 0.1195
0.3705 0.9657 0.6195
0.6295 0.0343 0.3805
0.6295 0.4657 0.8805
0.8558 0.0380 0.1141
0.8558 0.4620 0.6141
0.0439 0.1245 0.6452
0.0439 0.3755 0.1452
0.2500 0.6201 0.6491
0.2500 0.8799 0.1491
0.4634 0.2494 0.4938
0.4634 0.2506 0.9938
0.5366 0.7494 0.0062
0.5366 0.7506 0.5062
0.7500 0.1201 0.8509
0.7500 0.3799 0.3509
0.9561 0.6245 0.8548
0.9561 0.8755 0.3548
0.0225 0.2253 0.1837
0.0225 0.2747 0.6837
0.0951 0.5836 0.6649
0.0951 0.9164 0.1649
0.0988 0.0105 0.7357
0.0988 0.4895 0.2357
0.1398 0.5701 0.9563
0.1398 0.9299 0.4563
0.1844 0.5840 0.5318
0.1844 0.9160 0.0318
0.1916 0.1256 0.6201
0.1916 0.3744 0.1201
0.2812 0.7126 0.1687
0.2812 0.7874 0.6687
0.2818 0.1636 0.9413
0.2818 0.3364 0.4413
0.3759 0.6503 0.4269
0.3759 0.8497 0.9269
0.4229 0.5298 0.7265
0.4229 0.9702 0.2265
0.4538 0.1209 0.5569
0.4538 0.3791 0.0569
0.4829 0.1916 0.4037
0.4829 0.3084 0.9037
0.5171 0.6916 0.0963
0.5171 0.8084 0.5963
0.5462 0.6209 0.9431
0.5462 0.8791 0.4431
0.5771 0.0298 0.7735
0.5771 0.4702 0.2735
0.6241 0.1503 0.0731
0.6241 0.3497 0.5731
0.7182 0.6636 0.5587
0.7182 0.8364 0.0587
0.7188 0.2126 0.3313
0.7188 0.2874 0.8313
0.8084 0.6256 0.8799
0.8084 0.8744 0.3799
0.8156 0.0840 0.9682
0.8156 0.4160 0.4682
0.8602 0.0701 0.5437
0.8602 0.4299 0.0437
0.9012 0.5105 0.7643
0.9012 0.9895 0.2643
0.9049 0.0836 0.8351
0.9049 0.4164 0.3351
0.9775 0.7253 0.3163
0.9775 0.7747 0.8163
```



NaPaO3: optimized geometry, PBE.

Computed properties:
uncorrected energy = -7.7636 eV/atom
spin magnetization = 0.00 μB/atom

Geometry as POSCAR:
```
NaPaO3
1.0
2.9439 1.6996 4.9302
-2.9439 1.6996 4.9302
0.0000 -3.3993 4.9302
Na Pa O
2 2 6
direct
0.2500 0.2500 0.2500
0.7500 0.7500 0.7500
0.0000 0.0000 0.0000
0.5000 0.5000 0.5000
0.1410 0.7500 0.3590
0.2500 0.6410 0.8590
0.3590 0.1410 0.7500
0.6410 0.8590 0.2500
0.7500 0.3590 0.1410
0.8590 0.2500 0.6410
```



NaPaO3: optimized geometry, PBE.

Computed properties:
uncorrected energy = -7.3344 eV/atom
spin magnetization = 0.00 μB/atom

Geometry as POSCAR:
```
NaPaO3
1.0
2.9058 1.6777 4.3795
-2.9058 1.6777 4.3795
0.0000 -3.3554 4.3795
Na Pa O
2 2 6
direct
0.0000 0.0000 0.0000
0.5000 0.5000 0.5000
0.2500 0.2500 0.2500
0.7500 0.7500 0.7500
0.1057 0.7500 0.3943
0.2500 0.6057 0.8943
0.3943 0.1057 0.7500
0.6057 0.8943 0.2500
0.7500 0.3943 0.1057
0.8943 0.2500 0.6057
```



NaPaO3: optimized geometry, PBE.

Computed properties:
uncorrected energy = -7.7121 eV/atom
spin magnetization = 0.00 μB/atom

Geometry as POSCAR:
```
NaPaO3
1.0
2.9911 1.7269 5.1408
-2.9911 1.7269 5.1408
0.0000 -3.4538 5.1408
Na Pa O
2 2 6
direct
0.1336 0.1336 0.1336
0.8664 0.8664 0.8664
0.3481 0.3481 0.3481
0.6519 0.6519 0.6519
0.0480 0.4631 0.7094
0.2906 0.9520 0.5369
0.4631 0.7094 0.0480
0.5369 0.2906 0.9520
0.7094 0.0480 0.4631
0.9520 0.5369 0.2906
```



Na2Pa2O5: optimized geometry, PBE.

Computed properties:
uncorrected energy = -6.7998 eV/atom
spin magnetization = 0.22 μB/atom

Geometry as POSCAR:
```
Na2Pa2O5
1.0
4.0259 0.0000 0.0000
0.0000 4.0259 0.0000
0.0000 0.0000 6.9408
Na Pa O
2 2 5
direct
0.0000 0.0000 0.2092
0.0000 0.0000 0.7908
0.5000 0.5000 0.0000
0.5000 0.5000 0.5000
0.0000 0.0000 0.5000
0.0000 0.5000 0.2008
0.0000 0.5000 0.7992
0.5000 0.0000 0.2008
0.5000 0.0000 0.7992
```



Na2Pa2O5: optimized geometry, PBE.

Computed properties:
uncorrected energy = -7.3927 eV/atom
spin magnetization = 0.18 μB/atom

Geometry as POSCAR:
```
Na2Pa2O5
1.0
4.2928 0.0000 0.0000
0.0000 4.2928 0.0000
0.0000 0.0000 8.5100
Na Pa O
2 2 5
direct
0.0000 0.0000 0.0000
0.0000 0.0000 0.5000
0.5000 0.5000 0.2416
0.5000 0.5000 0.7584
0.0000 0.5000 0.1840
0.0000 0.5000 0.8160
0.5000 0.0000 0.1840
0.5000 0.0000 0.8160
0.5000 0.5000 0.5000
```



NaPaO3: optimized geometry, PBE.

Computed properties:
uncorrected energy = -7.2950 eV/atom
spin magnetization = 0.00 μB/atom

Geometry as POSCAR:
```
NaPaO3
1.0
3.5895 0.0000 0.0000
0.0000 3.5895 0.0000
0.0000 0.0000 5.7048
Na Pa O
1 1 3
direct
0.0000 0.0000 0.0000
0.5000 0.5000 0.4355
0.0000 0.0000 0.6125
0.0000 0.5000 0.2307
0.5000 0.0000 0.2307
```



NaPaO3: optimized geometry, PBE.

Computed properties:
uncorrected energy = -7.7683 eV/atom
spin magnetization = 0.00 μB/atom

Geometry as POSCAR:
```
NaPaO3
1.0
6.0099 0.0000 0.0000
0.0000 8.3593 0.0000
0.0000 0.0000 5.7944
Na Pa O
4 4 12
direct
0.0408 0.2500 0.0086
0.4592 0.7500 0.5086
0.5408 0.2500 0.4914
0.9592 0.7500 0.9914
0.0000 0.0000 0.5000
0.0000 0.5000 0.5000
0.5000 0.0000 0.0000
0.5000 0.5000 0.0000
0.0469 0.7500 0.3878
0.1947 0.5593 0.8096
0.1947 0.9407 0.8096
0.3053 0.0593 0.3096
0.3053 0.4407 0.3096
0.4531 0.2500 0.8878
0.5469 0.7500 0.1122
0.6947 0.5593 0.6904
0.6947 0.9407 0.6904
0.8053 0.0593 0.1904
0.8053 0.4407 0.1904
0.9531 0.2500 0.6122
```